1.
# Rb3Pt2N

A relaxed Rb3Pt2N crystal (PBE, Alexandria via LeMat-Bulk).

Geometry as POSCAR:
```
Rb3Pt2N
1.0
4.8933 -5.3767 0.0000
4.8933 5.3767 0.0000
-0.1425 0.0000 6.8513
Rb Pt N
6 4 2
Cartesian
4.7864 4.4424 5.1385
3.1768 1.0316 6.3397
3.2480 -1.0316 2.9141
6.3959 1.0316 3.9372
6.4672 -1.0316 0.5116
4.8576 -4.4424 1.7128
3.4158 2.5487 2.6986
6.2995 2.5487 0.7271
3.3445 -2.5487 6.1242
6.2282 -2.5487 4.1528
4.8576 3.3396 1.7128
4.7864 -3.3396 5.1385
```

Calculated values
The volume is 361 Å³/cell. As for the total magnetization: 0.0 μB per formula unit. As for the total DFT energy (no corrections): -23.4 eV per formula unit. Its crystal system is monoclinic. The value obtained for the formation energy without anion corrections is -2.11 kJ/mol of atoms.

=====

2.
# RbPtS2N

A relaxed RbPtS2N crystal (PBE, Alexandria via LeMat-Bulk).

Geometry as POSCAR:
```
RbPtS2N
1.0
5.6427 0.0000 0.0000
0.0000 5.6427 0.0000
0.0000 0.0000 4.7437
Rb Pt S N
1 1 2 1
Cartesian
0.0000 0.0000 0.0000
2.8214 2.8214 2.3719
0.0000 2.8214 0.0000
2.8214 0.0000 0.0000
0.0000 0.0000 2.3719
```

Calculated values
The volume is 151 Å³/cell. As for the total magnetization: 2.7 μB per formula unit. As for the total DFT energy (no corrections): -10.2 eV per formula unit. Its crystal system is tetragonal. The value obtained for the formation energy without anion corrections is 258.50 kJ/mol of atoms.